# 1
Compound: LiTa3
Source: Alexandria
Functional: GGA-PBEsol
Structure: optimized geometry

Unit cell a=2.8189 b=2.8189 c=10.3556 alpha=90.00 beta=90.00 gamma=120.00
Space group P-6m2 (No. 187)
Symmetry-distinct sites (fractional):
Li: 0.0000 0.0000 0.0000 x1
Ta: 0.0000 0.0000 0.5000 x1
Ta: 0.3333 0.6667 0.2507 x2

Output
The density of states at the Fermi level comes out at 1.09 states/eV/atom. For the total energy, the calculation gives -38.2 eV for the cell shown. The calculation puts the offset from the most stable computed form at 0 meV per atom.



# 2
Compound: LiTaTc2
Source: Alexandria
Functional: GGA-PBEsol
Structure: optimized geometry

Unit cell a=3.3633 b=4.0846 c=4.1295 alpha=90.00 beta=90.00 gamma=90.00
Space group Pmmm (No. 47)
Symmetry-distinct sites (fractional):
Li: 0.0000 0.0000 0.0000 x1
Ta: 0.5000 0.5000 0.0000 x1
Tc: 0.0000 0.5000 0.5000 x1
Tc: 0.5000 0.0000 0.5000 x1

Output
The density of states at the Fermi level comes out at 0.73 states/eV/atom. For the total energy, the calculation gives -36.2 eV for the cell shown. The calculation puts the offset from the most stable computed form at 30 meV per atom.



# 3
Compound: LiTa2Tc
Source: Alexandria
Functional: GGA-PBEsol
Structure: optimized geometry

Unit cell a=3.2206 b=3.2206 c=5.8285 alpha=90.00 beta=90.00 gamma=90.00
Space group P4mm (No. 99)
Symmetry-distinct sites (fractional):
Li: 0.0000 0.0000 0.0000 x1
Ta: 0.0000 0.0000 0.5360 x1
Ta: 0.5000 0.5000 0.2423 x1
Tc: 0.5000 0.5000 0.7845 x1

Output
The density of states at the Fermi level comes out at 0.69 states/eV/atom. For the total energy, the calculation gives -37.6 eV for the cell shown.



# 4
Compound: LiTaTc2
Source: Alexandria
Functional: GGA-PBEsol
Structure: optimized geometry

Unit cell a=5.3754 b=8.7168 c=2.5275 alpha=90.00 beta=90.00 gamma=90.00
Space group Cmmm (No. 65)
Symmetry-distinct sites (fractional):
Li: 0.0000 0.0000 0.0000 x2
Ta: 0.0000 0.5000 0.0000 x2
Tc: 0.2500 0.2500 0.5000 x4

Output
The density of states at the Fermi level comes out at 0.79 states/eV/atom. For the total energy, the calculation gives -71.6 eV for the cell shown. The calculation puts the offset from the most stable computed form at 113 meV per atom.